w:
VASP calculation (PBE) on Tm3ZrSc2 after structural relaxation.

Unit cell a=16.543 b=3.274 c=13.480 alpha=90.00 beta=116.27 gamma=90.00
Space group C2/m (No. 12)
Unique sites:
Tm (0.034, 0.000, 0.221) x4
Tm (0.103, 0.500, 0.025) x4
Tm (0.246, 0.500, 0.302) x4
Zr (0.066, 0.500, 0.645) x4
Sc (0.150, 0.500, 0.468) x4
Sc (0.179, 0.000, 0.872) x4

Summary:
size of the total moment = 0.00 μB/f.u.
calculated density = 7.0 g/cm3

=====

x:
VASP calculation (PBE) on Tm3ZrSc2 after structural relaxation.

Unit cell a=11.568 b=5.383 c=10.866 alpha=90.00 beta=107.32 gamma=90.00
Space group C2/m (No. 12)
Unique sites:
Tm (0.123, 0.000, 0.282) x4
Tm (0.128, 0.500, 0.475) x4
Tm (0.138, 0.000, 0.960) x4
Zr (0.101, 0.500, 0.782) x4
Sc (0.116, 0.500, 0.110) x4
Sc (0.136, 0.000, 0.647) x4

Summary:
size of the total moment = 0.00 μB/f.u.
calculated density = 7.1 g/cm3

=====

Stability check: which of them is least stable? w.

=====

w:
VASP calculation (PBE) on Tm3ZrSc4 after structural relaxation.

Unit cell a=22.202 b=3.351 c=5.822 alpha=90.00 beta=105.08 gamma=90.00
Space group C2/m (No. 12)
Unique sites:
Tm (0.000, 0.000, 0.000) x2
Tm (0.126, 0.500, 0.297) x4
Zr (0.000, 0.500, 0.500) x2
Sc (0.124, 0.000, 0.788) x4
Sc (0.249, 0.500, 0.754) x4

Summary:
size of the total moment = 0.00 μB/f.u.
calculated density = 6.2 g/cm3

=====

x:
VASP calculation (PBE) on Tm3ZrSc4 after structural relaxation.

Unit cell a=10.563 b=6.786 c=5.880 alpha=90.00 beta=90.00 gamma=90.00
Space group Pmn2_1 (No. 31)
Unique sites:
Tm (0.000, 0.126, 0.000) x2
Tm (0.247, 0.129, 0.342) x4
Zr (0.000, 0.868, 0.509) x2
Sc (0.000, 0.385, 0.508) x2
Sc (0.000, 0.628, 0.014) x2
Sc (0.244, 0.623, 0.344) x4

Summary:
size of the total moment = 0.00 μB/f.u.
calculated density = 6.1 g/cm3

=====

Stability check: which of them is least stable? w.

=====

w:
VASP calculation (PBE) on Tm2ZrSc4 after structural relaxation.

Unit cell a=5.815 b=3.356 c=18.592 alpha=90.00 beta=95.97 gamma=90.00
Space group Cm (No. 8)
Unique sites:
Tm (0.000, 0.000, 0.000) x2
Tm (0.098, 0.000, 0.293) x2
Zr (0.192, 0.000, 0.578) x2
Sc (0.284, 0.000, 0.854) x2
Sc (0.314, 0.500, 0.444) x2
Sc (0.383, 0.000, 0.147) x2
Sc (0.404, 0.500, 0.714) x2

Summary:
size of the total moment = 0.60 μB/f.u.
calculated density = 5.6 g/cm3

=====

x:
VASP calculation (PBE) on Tm2ZrSc4 after structural relaxation.

Unit cell a=5.010 b=5.010 c=16.342 alpha=90.00 beta=90.00 gamma=90.00
Space group I4/mmm (No. 139)
Unique sites:
Tm (0.000, 0.000, 0.128) x4
Zr (0.000, 0.000, 0.500) x2
Sc (0.000, 0.000, 0.327) x4
Sc (0.000, 0.500, 0.000) x4

Summary:
size of the total moment = 0.00 μB/f.u.
calculated density = 4.9 g/cm3

=====

Stability check: which of them is least stable? x.

=====

w:
VASP calculation (PBE) on Tm2Zr2Sc7 after structural relaxation.

Unit cell a=11.096 b=6.284 c=8.576 alpha=90.00 beta=109.75 gamma=90.00
Space group C2/m (No. 12)
Unique sites:
Tm (0.218, 0.000, 0.449) x4
Zr (0.000, 0.272, 0.500) x4
Sc (0.000, 0.000, 0.000) x2
Sc (0.042, 0.500, 0.192) x4
Sc (0.209, 0.245, 0.827) x8

Summary:
size of the total moment = 0.00 μB/f.u.
calculated density = 4.9 g/cm3

=====

x:
VASP calculation (PBE) on Tm2Zr2Sc7 after structural relaxation.

Unit cell a=6.299 b=9.760 c=9.064 alpha=90.00 beta=90.10 gamma=90.00
Space group C2/m (No. 12)
Unique sites:
Tm (0.000, 0.201, 0.000) x4
Zr (0.184, 0.000, 0.241) x4
Sc (0.000, 0.500, 0.500) x2
Sc (0.141, 0.210, 0.649) x8
Sc (0.145, 0.500, 0.139) x4

Summary:
size of the total moment = 0.00 μB/f.u.
calculated density = 5.0 g/cm3

=====

Stability check: which of them is least stable? w.

=====

w:
VASP calculation (PBE) on ScU2 after structural relaxation.

Unit cell a=8.032 b=8.032 c=8.032 alpha=90.00 beta=90.00 gamma=90.00
Space group Fd-3m (No. 227, origin choice 2)
Unique sites:
Sc (0.125, 0.125, 0.125) x8
U (0.000, 0.000, 0.500) x16

Summary:
size of the total moment = 0.00 μB/f.u.
calculated density = 13.4 g/cm3

=====

x:
VASP calculation (PBE) on ScU2 after structural relaxation.

Unit cell a=3.480 b=3.480 c=11.037 alpha=90.00 beta=90.00 gamma=90.00
Space group I4/mmm (No. 139)
Unique sites:
Sc (0.000, 0.000, 0.000) x2
U (0.000, 0.000, 0.299) x4

Summary:
size of the total moment = 0.00 μB/f.u.
calculated density = 12.9 g/cm3

=====

Stability check: which of them is least stable? w.

=====

w:
VASP calculation (PBE) on ScV after structural relaxation.

Unit cell a=5.365 b=5.365 c=5.498 alpha=90.00 beta=90.00 gamma=90.00
Space group P4_2/mnm (No. 136)
Unique sites:
Sc (0.182, 0.182, 0.000) x4
V (0.152, 0.152, 0.500) x4

Summary:
size of the total moment = 0.69 μB/f.u.
calculated density = 4.0 g/cm3

=====

x:
VASP calculation (PBE) on ScV after structural relaxation.

Unit cell a=4.7650 b=4.7650 c=5.4376 alpha=90.00 beta=90.00 gamma=120.00
Space group P6_3/mmc (No. 194)
Unique sites:
Sc (0.3333, 0.6667, 0.2500) x2
V (0.3333, 0.6667, 0.7500) x2

Summary:
size of the total moment = 3.27 μB/f.u.
calculated density = 3.0 g/cm3

=====

Stability check: which of them is least stable? x.

=====

w:
VASP calculation (PBE) on ScV3 after structural relaxation.

Unit cell a=6.278 b=6.278 c=6.278 alpha=90.00 beta=90.00 gamma=90.00
Space group Fm-3m (No. 225)
Unique sites:
Sc (0.000, 0.000, 0.000) x4
V (0.000, 0.000, 0.500) x4
V (0.250, 0.250, 0.250) x8

Summary:
size of the total moment = 0.00 μB/f.u.
calculated density = 5.3 g/cm3

=====

x:
VASP calculation (PBE) on ScV3 after structural relaxation.

Unit cell a=3.230 b=4.243 c=4.647 alpha=90.00 beta=90.00 gamma=90.00
Space group Pmm2 (No. 25)
Unique sites:
Sc (0.000, 0.000, 0.000) x1
V (0.000, 0.500, 0.553) x1
V (0.500, 0.000, 0.493) x1
V (0.500, 0.500, 0.137) x1

Summary:
size of the total moment = 0.00 μB/f.u.
calculated density = 5.2 g/cm3

=====

Stability check: which of them is least stable? w.

=====

w:
VASP calculation (PBE) on ScVW3 after structural relaxation.

Unit cell a=4.612 b=4.612 c=4.612 alpha=90.00 beta=90.00 gamma=90.00
Space group Pm-3m (No. 221)
Unique sites:
Sc (0.000, 0.000, 0.000) x1
V (0.500, 0.500, 0.500) x1
W (0.000, 0.000, 0.500) x3

Summary:
size of the total moment = 2.44 μB/f.u.
calculated density = 11.0 g/cm3

=====

x:
VASP calculation (PBE) on ScVW3 after structural relaxation.

Unit cell a=4.594 b=4.594 c=4.594 alpha=90.00 beta=90.00 gamma=90.00
Space group Pm-3m (No. 221)
Unique sites:
Sc (0.000, 0.000, 0.000) x1
V (0.500, 0.500, 0.500) x1
W (0.000, 0.500, 0.500) x3

Summary:
size of the total moment = 0.00 μB/f.u.
calculated density = 11.1 g/cm3

=====

Stability check: which of them is least stable? w.

=====

w:
VASP calculation (PBE) on ScVW2 after structural relaxation.

Unit cell a=6.376 b=6.376 c=6.376 alpha=90.00 beta=90.00 gamma=90.00
Space group Fm-3m (No. 225)
Unique sites:
Sc (0.000, 0.000, 0.000) x4
V (0.000, 0.000, 0.500) x4
W (0.250, 0.250, 0.250) x8

Summary:
size of the total moment = 0.00 μB/f.u.
calculated density = 11.9 g/cm3

=====

x:
VASP calculation (PBE) on ScVW2 after structural relaxation.

Unit cell a=7.237 b=7.237 c=5.411 alpha=90.00 beta=90.00 gamma=90.00
Space group I-42d (No. 122)
Unique sites:
Sc (0.000, 0.000, 0.000) x4
V (0.000, 0.000, 0.500) x4
W (0.216, 0.250, 0.625) x8

Summary:
size of the total moment = 0.00 μB/f.u.
calculated density = 10.9 g/cm3

=====

Stability check: which of them is least stable? x.

=====

w:
VASP calculation (PBE) on Y2ScV after structural relaxation.

Unit cell a=7.427 b=7.427 c=7.427 alpha=90.00 beta=90.00 gamma=90.00
Space group Fm-3m (No. 225)
Unique sites:
Y (0.250, 0.250, 0.250) x8
Sc (0.000, 0.000, 0.000) x4
V (0.000, 0.000, 0.500) x4

Summary:
size of the total moment = 3.34 μB/f.u.
calculated density = 4.4 g/cm3

=====

x:
VASP calculation (PBE) on Y2ScV after structural relaxation.

Unit cell a=8.254 b=8.254 c=6.294 alpha=90.00 beta=90.00 gamma=90.00
Space group I-42d (No. 122)
Unique sites:
Y (0.212, 0.250, 0.125) x8
Sc (0.000, 0.000, 0.500) x4
V (0.000, 0.000, 0.000) x4

Summary:
size of the total moment = 3.07 μB/f.u.
calculated density = 4.2 g/cm3

=====

y:
VASP calculation (PBE) on Y2ScV after structural relaxation.

Unit cell a=3.3145 b=3.3145 c=33.5903 alpha=90.00 beta=90.00 gamma=120.00
Space group R-3m (No. 166, hexagonal axes)
Unique sites:
Y (0.0000, 0.0000, 0.0845) x6
Sc (0.0000, 0.0000, 0.5000) x3
V (0.0000, 0.0000, 0.0000) x3

Summary:
size of the total moment = 3.08 μB/f.u.
calculated density = 4.3 g/cm3

=====

Stability check: which of them is least stable? y.

=====

w:
VASP calculation (PBE) on YSc3V after structural relaxation.

Unit cell a=5.024 b=5.024 c=5.024 alpha=90.00 beta=90.00 gamma=90.00
Space group Pm-3m (No. 221)
Unique sites:
Y (0.000, 0.000, 0.000) x1
Sc (0.000, 0.500, 0.500) x3
V (0.500, 0.500, 0.500) x1

Summary:
size of the total moment = 0.00 μB/f.u.
calculated density = 3.6 g/cm3

=====

x:
VASP calculation (PBE) on YSc3V after structural relaxation.

Unit cell a=5.156 b=5.156 c=5.156 alpha=90.00 beta=90.00 gamma=90.00
Space group Pm-3m (No. 221)
Unique sites:
Y (0.000, 0.000, 0.000) x1
Sc (0.000, 0.000, 0.500) x3
V (0.500, 0.500, 0.500) x1

Summary:
size of the total moment = 4.48 μB/f.u.
calculated density = 3.3 g/cm3

=====

Stability check: which of them is least stable? x.

=====

w:
VASP calculation (PBE) on Sc3VZn after structural relaxation.

Unit cell a=4.889 b=4.889 c=4.889 alpha=90.00 beta=90.00 gamma=90.00
Space group Pm-3m (No. 221)
Unique sites:
Sc (0.000, 0.000, 0.500) x3
V (0.000, 0.000, 0.000) x1
Zn (0.500, 0.500, 0.500) x1

Summary:
size of the total moment = 0.00 μB/f.u.
calculated density = 3.6 g/cm3

=====

x:
VASP calculation (PBE) on Sc3VZn after structural relaxation.

Unit cell a=5.019 b=5.019 c=5.019 alpha=90.00 beta=90.00 gamma=90.00
Space group Pm-3m (No. 221)
Unique sites:
Sc (0.000, 0.000, 0.500) x3
V (0.500, 0.500, 0.500) x1
Zn (0.000, 0.000, 0.000) x1

Summary:
size of the total moment = 4.88 μB/f.u.
calculated density = 3.3 g/cm3

=====

Stability check: which of them is least stable? x.